VASP calculation (PBE) on an optimized crystal structure of ScNbAl2.

The structure in CIF format:
```
data_ScNbAl2
_cell_length_a 4.649
_cell_length_b 4.649
_cell_length_c 4.649
_cell_angle_alpha 60.00
_cell_angle_beta 60.00
_cell_angle_gamma 60.00
_symmetry_space_group_name_H-M 'P 1'
_symmetry_Int_Tables_number 1
loop_
_symmetry_equiv_pos_as_xyz
'x,y,z'
loop_
_atom_site_label
_atom_site_type_symbol
_atom_site_fract_x
_atom_site_fract_y
_atom_site_fract_z
Sc1 Sc 0.000 0.000 0.000
Nb1 Nb 0.250 0.250 0.250
Al1 Al 0.500 0.500 0.500
Al2 Al 0.750 0.750 0.750
```

Uncorrected energy (eV per atom): -5.95
Crystal system: cubic

VASP calculation (PBE) on an optimized crystal structure of ScNb2Al.

The structure in CIF format:
```
data_ScNb2Al
_cell_length_a 4.714
_cell_length_b 4.714
_cell_length_c 4.714
_cell_angle_alpha 60.00
_cell_angle_beta 60.00
_cell_angle_gamma 60.00
_symmetry_space_group_name_H-M 'P 1'
_symmetry_Int_Tables_number 1
loop_
_symmetry_equiv_pos_as_xyz
'x,y,z'
loop_
_atom_site_label
_atom_site_type_symbol
_atom_site_fract_x
_atom_site_fract_y
_atom_site_fract_z
Sc1 Sc 0.000 0.000 0.000
Nb1 Nb 0.250 0.250 0.250
Nb2 Nb 0.500 0.500 0.500
Al1 Al 0.750 0.750 0.750
```

Uncorrected energy (eV per atom): -7.67
Crystal system: cubic

VASP calculation (PBE) on an optimized crystal structure of Sc2Nb2Al.

The structure in CIF format:
```
data_Sc2Nb2Al
_cell_length_a 7.373
_cell_length_b 7.373
_cell_length_c 7.373
_cell_angle_alpha 149.18
_cell_angle_beta 149.18
_cell_angle_gamma 44.15
_symmetry_space_group_name_H-M 'P 1'
_symmetry_Int_Tables_number 1
loop_
_symmetry_equiv_pos_as_xyz
'x,y,z'
loop_
_atom_site_label
_atom_site_type_symbol
_atom_site_fract_x
_atom_site_fract_y
_atom_site_fract_z
Sc1 Sc 0.250 0.750 0.500
Sc2 Sc 0.750 0.250 0.500
Nb1 Nb 0.086 0.086 0.000
Nb2 Nb 0.914 0.914 0.000
Al1 Al 0.500 0.500 0.000
```

Uncorrected energy (eV per atom): -6.76
Crystal system: tetragonal

VASP calculation (PBE) on an optimized crystal structure of NbAlSi.

The structure in CIF format:
```
data_NbAlSi
_cell_length_a 4.216
_cell_length_b 4.216
_cell_length_c 4.216
_cell_angle_alpha 60.00
_cell_angle_beta 60.00
_cell_angle_gamma 60.00
_symmetry_space_group_name_H-M 'P 1'
_symmetry_Int_Tables_number 1
loop_
_symmetry_equiv_pos_as_xyz
'x,y,z'
loop_
_atom_site_label
_atom_site_type_symbol
_atom_site_fract_x
_atom_site_fract_y
_atom_site_fract_z
Nb1 Nb 0.000 0.000 0.000
Al1 Al 0.500 0.500 0.500
Si1 Si 0.750 0.750 0.750
```

Uncorrected energy (eV per atom): -6.29
Crystal system: cubic

VASP calculation (PBE) on an optimized crystal structure of NbAlSi.

The structure in CIF format:
```
data_NbAlSi
_cell_length_a 4.319
_cell_length_b 4.319
_cell_length_c 4.319
_cell_angle_alpha 60.00
_cell_angle_beta 60.00
_cell_angle_gamma 60.00
_symmetry_space_group_name_H-M 'P 1'
_symmetry_Int_Tables_number 1
loop_
_symmetry_equiv_pos_as_xyz
'x,y,z'
loop_
_atom_site_label
_atom_site_type_symbol
_atom_site_fract_x
_atom_site_fract_y
_atom_site_fract_z
Nb1 Nb 0.000 0.000 0.000
Al1 Al 0.750 0.750 0.750
Si1 Si 0.250 0.250 0.250
```

Uncorrected energy (eV per atom): -6.06
Crystal system: cubic

VASP calculation (PBE) on an optimized crystal structure of Nb2AlSn2.

The structure in CIF format:
```
data_Nb2AlSn2
_cell_length_a 7.288
_cell_length_b 7.288
_cell_length_c 7.288
_cell_angle_alpha 147.91
_cell_angle_beta 147.91
_cell_angle_gamma 46.03
_symmetry_space_group_name_H-M 'P 1'
_symmetry_Int_Tables_number 1
loop_
_symmetry_equiv_pos_as_xyz
'x,y,z'
loop_
_atom_site_label
_atom_site_type_symbol
_atom_site_fract_x
_atom_site_fract_y
_atom_site_fract_z
Nb1 Nb 0.250 0.750 0.500
Nb2 Nb 0.750 0.250 0.500
Al1 Al 0.000 0.000 0.000
Sn1 Sn 0.400 0.400 0.000
Sn2 Sn 0.600 0.600 0.000
```

Uncorrected energy (eV per atom): -5.99
Crystal system: tetragonal

VASP calculation (PBE) on an optimized crystal structure of Nb5AlSn2.

The structure in CIF format:
```
data_Nb5AlSn2
_cell_length_a 8.010
_cell_length_b 8.010
_cell_length_c 8.010
_cell_angle_alpha 96.04
_cell_angle_beta 96.04
_cell_angle_gamma 142.14
_symmetry_space_group_name_H-M 'P 1'
_symmetry_Int_Tables_number 1
loop_
_symmetry_equiv_pos_as_xyz
'x,y,z'
loop_
_atom_site_label
_atom_site_type_symbol
_atom_site_fract_x
_atom_site_fract_y
_atom_site_fract_z
Nb1 Nb 0.071 0.782 0.853
Nb2 Nb 0.218 0.071 0.289
Nb3 Nb 0.250 0.750 0.500
Nb4 Nb 0.282 0.571 0.853
Nb5 Nb 0.429 0.282 0.711
Nb6 Nb 0.571 0.718 0.289
Nb7 Nb 0.718 0.429 0.147
Nb8 Nb 0.750 0.250 0.500
Nb9 Nb 0.782 0.929 0.711
Nb10 Nb 0.929 0.218 0.147
Al1 Al 0.250 0.250 0.000
Al2 Al 0.750 0.750 0.000
Sn1 Sn 0.169 0.331 0.500
Sn2 Sn 0.331 0.831 0.162
Sn3 Sn 0.669 0.169 0.838
Sn4 Sn 0.831 0.669 0.500
```

Uncorrected energy (eV per atom): -8.02
Crystal system: tetragonal

VASP calculation (PBE) on an optimized crystal structure of TaNbAl.

The structure in CIF format:
```
data_TaNbAl
_cell_length_a 4.378
_cell_length_b 4.378
_cell_length_c 4.378
_cell_angle_alpha 60.00
_cell_angle_beta 60.00
_cell_angle_gamma 60.00
_symmetry_space_group_name_H-M 'P 1'
_symmetry_Int_Tables_number 1
loop_
_symmetry_equiv_pos_as_xyz
'x,y,z'
loop_
_atom_site_label
_atom_site_type_symbol
_atom_site_fract_x
_atom_site_fract_y
_atom_site_fract_z
Ta1 Ta 0.000 0.000 0.000
Nb1 Nb 0.500 0.500 0.500
Al1 Al 0.750 0.750 0.750
```

Uncorrected energy (eV per atom): -8.06
Crystal system: cubic
Offset from the most stable computed form (meV/atom): 0.0

VASP calculation (PBE) on an optimized crystal structure of TaNb2Al2.

The structure in CIF format:
```
data_TaNb2Al2
_cell_length_a 7.004
_cell_length_b 7.004
_cell_length_c 3.490
_cell_angle_alpha 90.00
_cell_angle_beta 90.00
_cell_angle_gamma 90.00
_symmetry_space_group_name_H-M 'P 1'
_symmetry_Int_Tables_number 1
loop_
_symmetry_equiv_pos_as_xyz
'x,y,z'
loop_
_atom_site_label
_atom_site_type_symbol
_atom_site_fract_x
_atom_site_fract_y
_atom_site_fract_z
Ta1 Ta 0.000 0.000 0.000
Ta2 Ta 0.500 0.500 0.000
Nb1 Nb 0.175 0.325 0.500
Nb2 Nb 0.325 0.825 0.500
Nb3 Nb 0.675 0.175 0.500
Nb4 Nb 0.825 0.675 0.500
Al1 Al 0.126 0.626 0.000
Al2 Al 0.374 0.126 0.000
Al3 Al 0.626 0.874 0.000
Al4 Al 0.874 0.374 0.000
```

Uncorrected energy (eV per atom): -8.20
Crystal system: tetragonal

VASP calculation (PBE) on an optimized crystal structure of Nb2AlTc.

The structure in CIF format:
```
data_Nb2AlTc
_cell_length_a 4.525
_cell_length_b 4.525
_cell_length_c 4.525
_cell_angle_alpha 60.00
_cell_angle_beta 60.00
_cell_angle_gamma 60.00
_symmetry_space_group_name_H-M 'P 1'
_symmetry_Int_Tables_number 1
loop_
_symmetry_equiv_pos_as_xyz
'x,y,z'
loop_
_atom_site_label
_atom_site_type_symbol
_atom_site_fract_x
_atom_site_fract_y
_atom_site_fract_z
Nb1 Nb 0.000 0.000 0.000
Nb2 Nb 0.250 0.250 0.250
Al1 Al 0.500 0.500 0.500
Tc1 Tc 0.750 0.750 0.750
```

Uncorrected energy (eV per atom): -8.72
Crystal system: cubic

VASP calculation (PBE) on an optimized crystal structure of Nb3AlTc2.

The structure in CIF format:
```
data_Nb3AlTc2
_cell_length_a 3.190
_cell_length_b 3.190
_cell_length_c 9.688
_cell_angle_alpha 90.00
_cell_angle_beta 90.00
_cell_angle_gamma 90.00
_symmetry_space_group_name_H-M 'P 1'
_symmetry_Int_Tables_number 1
loop_
_symmetry_equiv_pos_as_xyz
'x,y,z'
loop_
_atom_site_label
_atom_site_type_symbol
_atom_site_fract_x
_atom_site_fract_y
_atom_site_fract_z
Nb1 Nb 0.000 0.000 0.000
Nb2 Nb 0.000 0.000 0.325
Nb3 Nb 0.500 0.500 0.510
Al1 Al 0.500 0.500 0.816
Tc1 Tc 0.000 0.000 0.663
Tc2 Tc 0.500 0.500 0.163
```

Uncorrected energy (eV per atom): -9.39
Crystal system: tetragonal

VASP calculation (PBE) on an optimized crystal structure of NbAl2Tc.

The structure in CIF format:
```
data_NbAl2Tc
_cell_length_a 4.431
_cell_length_b 4.431
_cell_length_c 4.431
_cell_angle_alpha 60.00
_cell_angle_beta 60.00
_cell_angle_gamma 60.00
_symmetry_space_group_name_H-M 'P 1'
_symmetry_Int_Tables_number 1
loop_
_symmetry_equiv_pos_as_xyz
'x,y,z'
loop_
_atom_site_label
_atom_site_type_symbol
_atom_site_fract_x
_atom_site_fract_y
_atom_site_fract_z
Nb1 Nb 0.000 0.000 0.000
Al1 Al 0.500 0.500 0.500
Al2 Al 0.750 0.750 0.750
Tc1 Tc 0.250 0.250 0.250
```

Uncorrected energy (eV per atom): -7.35
Crystal system: cubic

- Which of these has the highest uncorrected energy?
  ScNbAl2